Computed, not measured: a relaxed structure of Ca2ZnCd6 at the PBE level of DFT.

Values from the calculation:
Its space group is C2/m, No. 12. The value obtained for the formation energy from the elements is -0.23 eV/atom. Its total energy is -1.424 eV per atom.

Unit cell a=6.256 b=6.193 c=6.577 alpha=88.87 beta=90.00 gamma=120.34
Sites, in units of the cell vectors:
Cd (0.171, 0.823, 0.327)
Cd (0.829, 0.177, 0.673)
Cd (0.348, 0.177, 0.673)
Cd (0.830, 0.661, 0.684)
Ca (0.666, 0.333, 0.131)
Cd (0.652, 0.823, 0.327)
Cd (0.170, 0.339, 0.316)
Zn (0.000, 0.000, 0.000)
Ca (0.334, 0.667, 0.869)